1.
Entry from Alexandria via LeMat-Bulk: an optimized crystal structure of CsCrCdI2 (PBE).

Output
Symmetry   P4/mmm
Formation energy (no corrections)   -0.81 eV/f.u.

Structure (extended XYZ):
```
5
Lattice="5.759 0.000 0.000 0.000 5.759 0.000 0.000 0.000 6.768" Properties=species:S:1:pos:R:3 pbc="T T T"
Cs 0.000 0.000 0.000
Cr 0.000 0.000 3.384
Cd 2.880 2.880 0.000
I 0.000 2.880 3.384
I 2.880 0.000 3.384
```



2.
Entry from Alexandria via LeMat-Bulk: an optimized crystal structure of CsKCrCd2 (PBE).

Output
Symmetry   P4/mmm
Formation energy from the elements   90 kJ/mol of atoms

Structure (extended XYZ):
```
5
Lattice="6.781 0.000 0.000 0.000 6.781 0.000 0.000 0.000 6.135" Properties=species:S:1:pos:R:3 pbc="T T T"
Cs 0.000 0.000 0.000
K 3.390 3.390 3.067
Cr 0.000 0.000 3.067
Cd 0.000 3.390 0.000
Cd 3.390 0.000 0.000
```